1.
Np4SeS5 | GGA-PBE | optimized geometry

Computed properties:
The mass density comes out at 7.4 g/cm³. The raw formation energy is -1.302 eV/atom. The energy above the most stable polymorph in this dataset is 0 meV/atom.

```
Np4SeS5
1.0
4.004 0.000 0.000
0.000 8.029 -0.708
-2.002 -1.894 8.406
Np S Se
4 5 1
Cartesian
0.000 2.148 -0.153
2.002 3.987 7.851
2.002 0.288 2.934
0.000 5.847 4.764
2.002 4.014 -0.354
0.000 6.418 2.116
2.002 4.111 5.182
2.002 -0.283 5.582
0.000 2.024 2.516
2.002 0.000 0.000
```

2.
Pu2SiPt6 | GGA-PBE | optimized geometry

Computed properties:
The mass density comes out at 17.1 g/cm³. The raw formation energy is -0.804 eV/atom.

```
Pu2SiPt6
1.0
-3.705 -4.045 -1.314
5.288 -1.345 1.340
-0.504 -1.476 5.967
Si Pt Pu
1 6 2
Cartesian
0.000 0.000 0.000
1.460 -3.923 2.018
-0.381 -2.945 3.975
0.694 -1.266 1.940
3.278 -1.937 2.663
0.385 -5.602 4.053
-2.199 -4.930 3.330
-0.932 -3.201 0.376
2.011 -3.666 5.617
```

3.
CaIrW2 | GGA-PBE | optimized geometry

Computed properties:
The mass density comes out at 14.1 g/cm³. The energy above the most stable polymorph in this dataset is 276 meV/atom.

```
CaIrW2
1.0
10.065 -0.008 -0.005
9.658 2.833 -0.005
9.658 1.383 2.472
Ca W Ir
1 2 1
Cartesian
7.346 1.052 0.616
14.419 2.065 1.208
0.272 0.039 0.023
22.037 3.156 1.847
```

4.
InRh3O | GGA-PBE | optimized geometry

Computed properties:
The mass density comes out at 6.0 g/cm³. The raw formation energy is 1.918 eV/atom. The energy above the most stable polymorph in this dataset is 1955 meV/atom.

```
InRh3O
1.0
4.952 0.000 0.000
0.000 4.952 0.000
0.000 0.000 4.952
In Rh O
1 3 1
Cartesian
0.000 0.000 0.000
2.476 0.000 0.000
0.000 2.476 0.000
0.000 0.000 2.476
2.476 2.476 2.476
```

5.
Hg4Pb10Au | GGA-PBE | optimized geometry

Computed properties:
The raw total energy comes out at -40.7 eV/cell. The mass density comes out at 10.7 g/cm³.

```
Hg4Pb10Au
1.0
-4.067 -4.296 4.540
4.738 -6.768 3.963
-0.720 2.712 8.045
Pb Hg Au
10 4 1
Cartesian
-0.023 -8.210 13.522
1.929 -6.148 11.342
-0.289 -8.265 7.552
-0.953 -5.157 9.311
0.905 -3.195 7.237
1.958 -5.891 5.043
-1.978 -2.204 5.206
0.240 -0.087 8.997
-0.025 -0.142 3.027
-2.007 -2.461 11.505
0.907 -3.002 4.096
-1.934 -2.279 8.359
1.885 -6.073 8.189
-0.955 -5.350 12.453
0.000 0.000 0.000
```

6.
Y3Si2ClO8 | GGA-PBE | optimized geometry

Computed properties:
The mass density comes out at 4.2 g/cm³. The raw formation energy is -3.195 eV/atom.

```
Y3Si2ClO8
1.0
-2.674 5.012 -2.614
-5.911 -3.512 -0.686
-5.238 5.652 16.196
Cl O Y Si
4 32 12 8
Cartesian
-9.148 6.196 9.776
-7.718 -0.637 2.692
-6.105 7.789 10.204
-4.675 0.956 3.120
-5.171 2.420 -1.900
-9.357 2.078 2.677
-5.752 3.229 0.516
-8.420 9.171 12.063
-5.828 0.661 0.224
-3.090 1.723 5.991
-7.465 4.895 5.192
-8.586 1.245 0.292
-5.915 6.897 14.926
-3.621 4.422 7.834
-7.300 3.091 9.995
-7.032 -0.260 5.872
-12.118 6.923 11.187
-6.791 7.412 7.024
-7.909 0.255 -2.030
-6.523 4.061 2.901
-5.237 5.907 12.604
-7.213 2.156 4.507
-6.610 4.997 8.389
-10.333 5.461 12.739
-6.358 2.257 7.704
-7.995 6.491 12.672
-8.071 3.923 12.380
-5.403 -2.019 0.833
-5.119 3.450 5.196
-10.202 2.730 5.062
-1.705 0.229 1.708
-3.490 1.691 0.157
-8.704 3.703 7.700
-8.652 4.732 14.796
-4.466 5.074 10.219
-10.733 5.429 6.905
-7.305 -1.096 -0.194
-10.127 7.716 12.109
-4.841 6.438 7.905
-8.450 5.906 6.923
-6.683 5.147 10.939
-5.373 1.246 5.973
-3.696 -0.564 0.787
-4.909 5.119 1.592
-8.982 0.714 4.991
-7.140 2.006 1.956
-8.914 2.033 11.304
-6.518 8.248 13.090
-5.167 5.618 14.248
-8.812 5.155 13.230
-6.584 3.695 4.530
-3.594 3.921 9.384
-5.011 1.997 -0.335
-8.656 1.534 -1.352
-7.239 3.457 8.366
-10.229 3.232 3.512
```

7.
K2Ir2O7 | GGA-PBE | optimized geometry

Computed properties:
The mass density comes out at 6.4 g/cm³. The raw formation energy is -0.735 eV/atom. The energy above the most stable polymorph in this dataset is 205 meV/atom.

```
K2Ir2O7
1.0
4.918 -0.002 -0.179
0.003 6.231 0.003
-0.485 -0.002 4.897
Ir O K
2 7 2
Cartesian
3.436 -0.002 1.213
0.997 -0.002 3.505
0.000 0.000 0.000
4.676 1.203 2.270
-0.240 5.024 2.451
1.976 5.022 4.810
2.219 5.153 2.361
2.217 1.074 2.360
2.460 1.205 -0.089
3.395 3.112 3.613
1.041 3.115 1.108
```

8.
ZnCo2Rh | GGA-PBE | optimized geometry

Computed properties:
The raw total energy comes out at -22.6 eV/cell. The mass density comes out at 9.3 g/cm³.

```
ZnCo2Rh
1.0
8.517 -0.007 -0.004
8.106 2.612 -0.004
8.106 1.271 2.283
Zn Co Rh
1 2 1
Cartesian
18.547 2.907 1.706
24.722 3.875 2.274
12.372 1.939 1.138
6.182 0.969 0.569
```